The following is a DFT calculation (GGA-PBE) of an optimized crystal structure of PaTl2IrO8.

Properties
The size of the total moment is 1.97 μB per formula unit. Its space group is P2/m. As for the calculated total energy: -6.6721 eV/atom. Its formation energy from raw total energies is -1.443 eV per atom.

Lattice parameters (Å, degrees): 5.0624 5.0584 6.7503 90.00 90.00 91.03
Last column: magnetic moment on the atom in μB.
Fractional coordinates of all 12 atoms:
Pa1 0.0000 0.0000 0.5000  0.00
Tl1 0.5000 0.5000 0.7600  0.00
Tl2 0.5000 0.5000 0.2400  0.00
Ir1 0.0000 0.0000 0.0000  1.01
O1 0.1789 0.8188 0.2308  0.06
O2 0.7255 0.7283 0.0000  0.21
O3 0.8211 0.1812 0.2308  0.06
O4 0.8211 0.1812 0.7692  0.06
O5 0.2745 0.2717 0.0000  0.21
O6 0.1789 0.8188 0.7692  0.06
O7 0.7009 0.7038 0.5000  0.03
O8 0.2991 0.2962 0.5000  0.03



The following is a DFT calculation (GGA-PBE) of an optimized crystal structure of TmPaIrO6.

Properties
The size of the total moment is 1.02 μB per formula unit. Its space group is P-31c. As for the calculated total energy: -8.4247 eV/atom. Its formation energy from raw total energies is -2.583 eV per atom.

Lattice parameters (Å, degrees): 5.3812 5.3812 9.8666 90.00 90.00 120.00
Last column: magnetic moment on the atom in μB.
Fractional coordinates of all 18 atoms:
Tm1 0.0000 0.0000 0.0000  0.01
Tm2 0.0000 0.0000 0.5000  0.01
Pa1 0.3333 0.6667 0.2500  0.03
Pa2 0.6667 0.3333 0.7500  0.03
Ir1 0.6667 0.3333 0.2500  0.56
Ir2 0.3333 0.6667 0.7500  0.56
O1 0.6718 0.6476 0.1330  0.06
O2 0.9758 0.3282 0.1330  0.06
O3 0.3282 0.9758 0.6330  0.06
O4 0.0242 0.6718 0.8670  0.06
O5 0.3524 0.3282 0.3670  0.06
O6 0.9758 0.6476 0.3670  0.06
O7 0.6476 0.9758 0.8670  0.06
O8 0.6718 0.0242 0.3670  0.06
O9 0.0242 0.3524 0.6330  0.06
O10 0.3524 0.0242 0.1330  0.06
O11 0.6476 0.6718 0.6330  0.06
O12 0.3282 0.3524 0.8670  0.06